Record 1
VASP calculation (PBE) on an optimized crystal structure of Li3MoH.

Summary:
ΔE to the lowest computed polymorph (meV/atom): 950

POSCAR file:
```
Li3MoH
1.0
5.255 0.000 0.000
0.000 5.255 0.000
0.000 0.000 5.255
H Li Mo
1 3 1
Cartesian
2.628 2.628 2.628
0.000 2.628 0.000
0.000 0.000 2.628
2.628 0.000 0.000
0.000 0.000 0.000
```


Record 2
VASP calculation (PBE) on an optimized crystal structure of CePaTe4.

Summary:
Formation energy (no corrections) (eV/atom): -0.864
ΔE to the lowest computed polymorph (meV/atom): 128

POSCAR file:
```
CePaTe4
1.0
5.868 0.000 0.000
0.000 7.632 0.000
-2.934 0.000 10.299
Te Pa Ce
8 2 2
Cartesian
0.000 0.402 5.805
0.000 6.863 9.459
0.000 4.468 6.630
2.934 3.046 0.840
2.934 0.652 3.669
0.000 5.780 2.192
2.934 1.964 8.107
2.934 4.218 4.495
0.000 1.990 8.336
2.934 5.806 1.963
2.934 6.702 6.542
0.000 2.886 3.757
```


Record 3
VASP calculation (PBE) on an optimized crystal structure of TbH6Pd2Rh.

Summary:
Energy (eV/atom): -4.61

POSCAR file:
```
TbH6Pd2Rh
1.0
-3.984 -1.774 -1.303
-1.116 -0.765 4.454
-3.667 7.909 0.439
H Pd Rh Tb
12 4 2 2
Cartesian
-4.490 6.117 1.614
-4.334 3.946 3.713
-4.506 3.501 1.061
-4.273 6.593 4.083
-4.494 -1.223 -0.492
-6.578 5.187 0.932
-2.188 0.183 2.659
-4.432 1.424 -0.123
-4.261 1.868 2.529
-6.231 3.102 3.093
-2.536 2.268 0.497
-4.276 -0.747 1.976
-5.383 4.645 2.182
-3.384 0.724 1.408
-6.789 4.079 -0.700
-1.978 1.290 4.290
-0.558 -0.382 2.227
-3.826 3.067 -0.432
-2.391 3.572 2.447
-1.992 -0.887 -0.651
```